The following is a PBE-GGA calculation of crystalline CePr6Er8 at its relaxed geometry, from Alexandria via LeMat-Bulk.

Calculated values
uncorrected energy	-4.6149	eV/atom
E_form	0.126	eV per atom

Cell lengths 9.0701, 9.0701, 20.9466 Å; angles 90.00, 90.00, 120.00 degrees
With the nearest neighbours (Å) after each atom.
Space group R-3 (No. 148, hexagonal axes)
Symmetry-distinct sites (fractional):
Ce 0.0000 0.0000 0.0000  6 Pr 3.45, 6 Er 3.53
Pr 0.0603 0.8097 0.7111  4 Er 3.39-3.62, 1 Ce 3.45, 2 Pr 3.56
Er 0.0000 0.0000 0.4231  4 Er 3.22-3.42, 3 Pr 3.48
Er 0.0809 0.5160 0.8059  3 Pr 3.39-3.62, 5 Er 3.42-3.46, 1 Ce 3.53